Entry 1:
{"formula": "BiSe", "functional": "PBE", "state": "relaxed", "lattice_angstrom": [[-1.910, 2.417, 3.070], [1.910, -2.417, 3.070], [1.910, 2.417, -3.070]], "species": ["Bi", "Se"], "frac_coords": [[0.000, 0.000, 0.000], [0.500, 0.500, 0.000]], "sg": "No. 71", "relative_energy_mev_per_atom": 140}

=====

Entry 2:
{"formula": "Tb4Y10Tm", "functional": "PBE", "state": "relaxed", "lattice_angstrom": [[-6.087, 6.087, 3.848], [6.087, -6.087, 3.848], [6.087, 6.087, -3.848]], "species": ["Tb", "Tb", "Tb", "Tb", "Y", "Y", "Y", "Y", "Y", "Y", "Y", "Y", "Y", "Y", "Tm"], "frac_coords": [[0.101, 0.299, 0.400], [0.299, 0.899, 0.198], [0.701, 0.101, 0.802], [0.899, 0.701, 0.600], [0.051, 0.152, 0.701], [0.152, 0.451, 0.101], [0.250, 0.750, 0.500], [0.350, 0.051, 0.899], [0.451, 0.350, 0.299], [0.549, 0.650, 0.701], [0.650, 0.949, 0.101], [0.750, 0.250, 0.500], [0.848, 0.549, 0.899], [0.949, 0.848, 0.299], [0.500, 0.500, 0.000]], "formation_energy_mev_per_atom": 736, "sg": "No. 87"}

=====

Entry 3:
{"formula": "NdTm5Sc4", "functional": "PBE", "state": "relaxed", "lattice_angstrom": [[-4.888, 4.888, 3.063], [4.888, -4.888, 3.063], [4.888, 4.888, -3.063]], "species": ["Nd", "Tm", "Tm", "Tm", "Tm", "Tm", "Sc", "Sc", "Sc", "Sc"], "frac_coords": [[0.000, 0.000, 0.000], [0.030, 0.129, 0.610], [0.129, 0.519, 0.099], [0.421, 0.030, 0.901], [0.519, 0.421, 0.390], [0.544, 0.544, 0.000], [0.130, 0.828, 0.416], [0.413, 0.714, 0.584], [0.714, 0.130, 0.302], [0.828, 0.413, 0.698]], "formation_energy_mev_per_atom": 337, "sg": "No. 79", "relative_energy_mev_per_atom": 41}

=====

Entry 4:
{"formula": "CoWBr4", "functional": "PBE", "state": "relaxed", "lattice_angstrom": [[0.000, 4.330, 4.330], [4.330, 0.000, 4.330], [4.330, 4.330, 0.000]], "species": ["Co", "W", "Br", "Br", "Br", "Br"], "frac_coords": [[0.000, 0.000, 0.000], [0.750, 0.750, 0.750], [0.375, 0.375, 0.375], [0.375, 0.375, 0.875], [0.375, 0.875, 0.375], [0.875, 0.375, 0.375]], "sg": "No. 216", "final_energy_ev_per_atom": -2.559}

=====

Entry 5:
{"formula": "ReAgAsO2", "functional": "PBE", "state": "relaxed", "lattice_angstrom": [[3.789, 0.000, 0.000], [0.000, 3.789, 0.000], [0.000, 0.000, 5.441]], "species": ["Re", "Ag", "As", "O", "O"], "frac_coords": [[0.000, 0.000, 0.000], [0.500, 0.500, 0.500], [0.000, 0.000, 0.500], [0.000, 0.500, 0.000], [0.500, 0.000, 0.000]], "sg": "No. 123", "final_energy_ev_per_atom": -6.680}

=====

Entry 6:
{"formula": "Dy3Tm4Pu", "functional": "PBE", "state": "relaxed", "lattice_angstrom": [[5.800, -6.532, 0.000], [5.800, 6.532, 0.000], [0.000, 0.000, 3.318]], "species": ["Dy", "Dy", "Dy", "Tm", "Tm", "Tm", "Tm", "Pu"], "frac_coords": [[0.000, 0.000, 0.000], [0.000, 0.500, 0.500], [0.500, 0.000, 0.500], [0.258, 0.742, 0.000], [0.261, 0.261, 0.500], [0.739, 0.739, 0.500], [0.742, 0.258, 0.000], [0.500, 0.500, 0.000]], "formation_energy_mev_per_atom": 460, "sg": "No. 65", "relative_energy_mev_per_atom": 418}

=====

Repeat the sixth record exactly.
{"formula": "Dy3Tm4Pu", "functional": "PBE", "state": "relaxed", "lattice_angstrom": [[5.800, -6.532, 0.000], [5.800, 6.532, 0.000], [0.000, 0.000, 3.318]], "species": ["Dy", "Dy", "Dy", "Tm", "Tm", "Tm", "Tm", "Pu"], "frac_coords": [[0.000, 0.000, 0.000], [0.000, 0.500, 0.500], [0.500, 0.000, 0.500], [0.258, 0.742, 0.000], [0.261, 0.261, 0.500], [0.739, 0.739, 0.500], [0.742, 0.258, 0.000], [0.500, 0.500, 0.000]], "formation_energy_mev_per_atom": 460, "sg": "No. 65", "relative_energy_mev_per_atom": 418}